# 1
Nd2Bi2Se | PBE | optimized geometry

abc: 7.848 7.880 10.392
angles: 90.00 90.00 90.00
Space group Fmmm (No. 69)
Inequivalent atoms, fractional coordinates:
Nd  0.250  0.250  0.250
Bi  0.000  0.000  0.134
Se  0.000  0.000  0.500

Total DFT energy (no corrections)   -4.6292 eV per atom

# 2
PrNbBi | PBE | optimized geometry

abc: 7.412 7.412 7.412
angles: 90.00 90.00 90.00
Space group F-43m (No. 216)
Inequivalent atoms, fractional coordinates:
Pr  0.000  0.000  0.000
Nb  0.250  0.250  0.250
Bi  0.250  0.250  0.750

Total DFT energy (no corrections)   -5.4770 eV per atom

# 3
La3Cd2InPdAu2 | PBE | optimized geometry

abc: 4.076 13.920 7.970
angles: 90.00 90.00 90.00
Space group Amm2 (No. 38)
Inequivalent atoms, fractional coordinates:
La  0.000  0.000  0.000
La  0.000  0.203  0.396
Cd  0.500  0.126  0.723
In  0.500  0.000  0.351
Pd  0.000  0.000  0.593
Au  0.500  0.166  0.099

Total DFT energy (no corrections)   -4.1723 eV per atom

# 4
TlRe3Pb5 | PBE | optimized geometry

abc: 5.5040 5.5040 8.7922
angles: 90.00 90.00 120.00
Space group P6/mmm (No. 191)
Inequivalent atoms, fractional coordinates:
Tl  0.0000  0.0000  0.0000
Re  0.0000  0.5000  0.5000
Pb  0.0000  0.0000  0.5000
Pb  0.3333  0.6667  0.2069

Total DFT energy (no corrections)   -5.9322 eV per atom

# 5
Pm2Si2O5 | PBE | optimized geometry

abc: 3.511 3.511 9.807
angles: 90.00 90.00 90.00
Space group P4/mmm (No. 123)
Inequivalent atoms, fractional coordinates:
Pm  0.000  0.000  0.244
Si  0.500  0.500  0.000
Si  0.500  0.500  0.500
O  0.000  0.000  0.000
O  0.000  0.500  0.385

Distance to the lowest polymorph of the same formula   437 meV/atom
Total DFT energy (no corrections)   -6.7946 eV per atom

# 6
LiNiMoPb | PBE | optimized geometry

abc: 6.395 6.395 6.395
angles: 90.00 90.00 90.00
Space group F-43m (No. 216)
Inequivalent atoms, fractional coordinates:
Li  0.000  0.000  0.000
Ni  0.250  0.250  0.750
Mo  0.250  0.250  0.250
Pb  0.000  0.000  0.500

Distance to the lowest polymorph of the same formula   144 meV/atom
Total DFT energy (no corrections)   -4.9912 eV per atom

# 7
Li4InNi2Pb | PBE | optimized geometry

abc: 4.403 4.403 6.185
angles: 90.00 90.00 90.00
Space group P-4m2 (No. 115)
Inequivalent atoms, fractional coordinates:
Li  0.000  0.000  0.000
Li  0.000  0.500  0.244
Li  0.500  0.500  0.500
In  0.500  0.500  0.000
Ni  0.000  0.500  0.754
Pb  0.000  0.000  0.500

Total DFT energy (no corrections)   -3.3537 eV per atom

# 8
FeSnPtAu | PBE | optimized geometry

abc: 6.467 6.467 6.467
angles: 90.00 90.00 90.00
Space group F-43m (No. 216)
Inequivalent atoms, fractional coordinates:
Fe  0.000  0.000  0.000
Sn  0.250  0.250  0.750
Pt  0.000  0.000  0.500
Au  0.250  0.250  0.250

Distance to the lowest polymorph of the same formula   0 meV/atom
Total DFT energy (no corrections)   -5.4134 eV per atom

Please write out number 8 again, unchanged.
FeSnPtAu | PBE | optimized geometry

abc: 6.467 6.467 6.467
angles: 90.00 90.00 90.00
Space group F-43m (No. 216)
Inequivalent atoms, fractional coordinates:
Fe  0.000  0.000  0.000
Sn  0.250  0.250  0.750
Pt  0.000  0.000  0.500
Au  0.250  0.250  0.250

Distance to the lowest polymorph of the same formula   0 meV/atom
Total DFT energy (no corrections)   -5.4134 eV per atom

- What is the formula in the first record?
  Nd2Bi2Se

- total DFT energy (no corrections) of number 7 (Li4InNi2Pb)?
  -3.3537 eV per atom

- Among the records above, which one has the lowest total DFT energy (no corrections)?
  Pm2Si2O5